PmZnRuRh: optimized geometry, GGA-PBE.

Cell: 4.619 4.619 4.619 Å, 60.00 60.00 60.00°
Element x y z (fractional)
1 Ru 0.750 0.750 0.750
2 Zn 0.000 0.000 0.000
3 Rh 0.250 0.250 0.250
4 Pm 0.500 0.500 0.500

Computed properties:
Space-group type: F-43m (216)
N(E_F), states/eV/f.u.: 2.914
Formation energy from the elements, eV per atom: -0.19